No. 1
Here is a relaxed ErTmBeRu crystal from the Alexandria database. Energies are from PBE.

Its total moment is 0.0 μB per cell. The calculation puts the total energy at -5.7109 eV per atom. As for the formation energy: -78 kJ/mol of formula units.

The structure belongs to space group F-43m (No. 216); the cell edges are 6.7460, 6.7460 and 6.7460 Å and the angles 90.00°, 90.00° and 90.00°. Symmetry generates all atoms from Er at (0.0000, 0.0000, 0.0000), Tm at (0.0000, 0.0000, 0.5000), Be at (0.2500, 0.2500, 0.7500) and Ru at (0.2500, 0.2500, 0.2500).

---

No. 2
Here is a relaxed YErBeRu crystal from the Alexandria database. Energies are from PBE.

Its total moment is 0.0 μB per cell. The calculation puts the total energy at -6.1666 eV per atom. As for the formation energy: -62 kJ/mol of formula units.

The structure belongs to space group F-43m (No. 216); the cell edges are 6.8073, 6.8073 and 6.8073 Å and the angles 90.00°, 90.00° and 90.00°. Symmetry generates all atoms from Y at (0.0000, 0.0000, 0.0000), Er at (0.0000, 0.0000, 0.5000), Be at (0.2500, 0.2500, 0.2500) and Ru at (0.2500, 0.2500, 0.7500).

---

No. 3
Here is a relaxed Er2BeS crystal from the Alexandria database. Energies are from PBE.

Its total moment is 0.0 μB per cell. The calculation puts the total energy at -4.4337 eV per atom. The calculation puts the uncorrected formation energy at -4.355 kcal/mol of atoms.

The structure belongs to space group R-3m (No. 166, hexagonal axes); the cell edges are 3.6223, 3.6223 and 26.9189 Å and the angles 90.00°, 90.00° and 120.00°. Symmetry generates all atoms from Er at (0.0000, 0.0000, 0.1056), Be at (0.0000, 0.0000, 0.0000) and S at (0.0000, 0.0000, 0.5000).

---

No. 4
Here is a relaxed ErBeS crystal from the Alexandria database. Energies are from PBE.

Its total moment is 0.0 μB per cell. The calculation puts the total energy at -5.1320 eV per atom. The calculation puts the uncorrected formation energy at -22.902 kcal/mol of atoms.

The structure belongs to space group R-3m (No. 166, hexagonal axes); the cell edges are 4.3434, 4.3434 and 21.5507 Å and the angles 90.00°, 90.00° and 120.00°. Symmetry generates all atoms from Er at (0.0000, 0.0000, 0.0778), Be at (0.0000, 0.0000, 0.3234) and S at (0.0000, 0.0000, 0.2192).

---

No. 5
Here is a relaxed Er5BeS4 crystal from the Alexandria database. Energies are from PBE.

Its total moment is 0.0 μB per cell. The calculation puts the total energy at -5.8946 eV per atom. The calculation puts the uncorrected formation energy at -36.655 kcal/mol of atoms.

The structure belongs to space group I4/m (No. 87); the cell edges are 8.6964, 8.6964 and 5.4823 Å and the angles 90.00°, 90.00° and 90.00°. Symmetry generates all atoms from Er at (0.0000, 0.0000, 0.0000), Er at (0.0980, 0.7070, 0.5000), Be at (0.0000, 0.0000, 0.5000) and S at (0.0965, 0.6962, 0.0000).

---

No. 6
Here is a relaxed ErBeS2 crystal from the Alexandria database. Energies are from PBE.

Its total moment is 0.0 μB per cell. The calculation puts the total energy at -5.2219 eV per atom. The calculation puts the uncorrected formation energy at -25.043 kcal/mol of atoms.

The structure belongs to space group R-3m (No. 166, hexagonal axes); the cell edges are 3.9301, 3.9301 and 20.5618 Å and the angles 90.00°, 90.00° and 120.00°. Symmetry generates all atoms from Er at (0.0000, 0.0000, 0.0000), Be at (0.0000, 0.0000, 0.5000) and S at (0.0000, 0.0000, 0.4068).

---

No. 7
Here is a relaxed ErBeSb crystal from the Alexandria database. Energies are from PBE.

Its total moment is 0.0 μB per cell. The calculation puts the total energy at -4.0918 eV per atom. The calculation puts the uncorrected formation energy at 1.047 kcal/mol of atoms.

The structure belongs to space group Fddd (No. 70, origin choice 2); the cell edges are 8.1382, 11.5513 and 12.5170 Å and the angles 90.00°, 90.00° and 90.00°. Symmetry generates all atoms from Er at (0.1250, 0.1250, 0.3065), Be at (0.0000, 0.0000, 0.5000) and Sb at (0.1203, 0.3750, 0.3750).

---

No. 8
Here is a relaxed ErScBe4 crystal from the Alexandria database. Energies are from PBE.

Its total moment is 0.0 μB per cell. The calculation puts the total energy at -4.3031 eV per atom. As for the formation energy: -2 kJ/mol of formula units.

The structure belongs to space group F-43m (No. 216); the cell edges are 6.9169, 6.9169 and 6.9169 Å and the angles 90.00°, 90.00° and 90.00°. Symmetry generates all atoms from Er at (0.0000, 0.0000, 0.0000), Sc at (0.2500, 0.2500, 0.7500) and Be at (0.1237, 0.1237, 0.3763).

---

No. 9
Here is a relaxed ErScBe17 crystal from the Alexandria database. Energies are from PBE.

Its total moment is 0.0 μB per cell. The calculation puts the total energy at -4.0742 eV per atom. As for the formation energy: -306 kJ/mol of formula units.

The structure belongs to space group R3m (No. 160, hexagonal axes); the cell edges are 7.6051, 7.6051 and 11.0764 Å and the angles 90.00°, 90.00° and 120.00°. Symmetry generates all atoms from Er at (0.0000, 0.0000, 0.0000), Sc at (0.0000, 0.0000, 0.6771), Be at (0.0000, 0.0000, 0.2446), Be at (0.0000, 0.0000, 0.4373), Be at (0.9999, 0.5000, 0.4977), Be at (0.0017, 0.2850, 0.3395), Be at (0.0035, 0.5018, 0.1805) and Be at (0.1669, 0.3339, 0.1731).

---

No. 10
Here is a relaxed ErScBe2Si2 crystal from the Alexandria database. Energies are from PBE.

Its total moment is 0.0 μB per cell. The calculation puts the total energy at -5.4963 eV per atom. The calculation puts the uncorrected formation energy at -14.546 kcal/mol of atoms.

The structure belongs to space group P-3m1 (No. 164); the cell edges are 3.8041, 3.8041 and 7.6733 Å and the angles 90.00°, 90.00° and 120.00°. Symmetry generates all atoms from Er at (0.0000, 0.0000, 0.0000), Sc at (0.0000, 0.0000, 0.5000), Be at (0.3333, 0.6667, 0.7372) and Si at (0.3333, 0.6667, 0.2616).

---

No. 11
Here is a relaxed ErScBeTc crystal from the Alexandria database. Energies are from PBE.

Its total moment is 0.0 μB per cell. The calculation puts the total energy at -6.2734 eV per atom. As for the formation energy: -10 kJ/mol of formula units.

The structure belongs to space group F-43m (No. 216); the cell edges are 6.6103, 6.6103 and 6.6103 Å and the angles 90.00°, 90.00° and 90.00°. Symmetry generates all atoms from Er at (0.0000, 0.0000, 0.0000), Sc at (0.0000, 0.0000, 0.5000), Be at (0.2500, 0.2500, 0.2500) and Tc at (0.2500, 0.2500, 0.7500).

---

No. 12
Here is a relaxed ErBeSe crystal from the Alexandria database. Energies are from PBE.

Its total moment is 0.0 μB per cell. The calculation puts the total energy at -4.7746 eV per atom. The calculation puts the uncorrected formation energy at -19.602 kcal/mol of atoms.

The structure belongs to space group R-3m (No. 166, hexagonal axes); the cell edges are 4.3015, 4.3015 and 27.4696 Å and the angles 90.00°, 90.00° and 120.00°. Symmetry generates all atoms from Er at (0.0000, 0.0000, 0.0600), Be at (0.0000, 0.0000, 0.3259) and Se at (0.0000, 0.0000, 0.2319).